No. 1
Entry from Alexandria: a relaxed structure of Er5Cd2Tc2 (PBE). Values from VASP.

Computed properties:
Energy of formation (eV/atom): -0.158
E_tot (eV per formula unit): -46.80
Total magnetization (μB/f.u.): 0.00

Structure (Quantum ESPRESSO input):
```
&SYSTEM
  ibrav = 0, nat = 18, ntyp = 3
/
ATOMIC_SPECIES
Er 167.26 Er.upf
Cd 112.41 Cd.upf
Tc 98.00 Tc.upf
ATOMIC_POSITIONS crystal
Er 0.000 0.000 0.000
Er 0.059 0.697 0.682
Er 0.197 0.559 0.182
Er 0.303 0.941 0.682
Er 0.441 0.803 0.182
Er 0.500 0.500 0.500
Er 0.559 0.197 0.818
Er 0.697 0.059 0.318
Er 0.803 0.441 0.818
Er 0.941 0.303 0.318
Cd 0.226 0.226 0.000
Cd 0.274 0.274 0.500
Cd 0.726 0.726 0.500
Cd 0.774 0.774 0.000
Tc 0.110 0.890 0.380
Tc 0.390 0.610 0.880
Tc 0.610 0.390 0.120
Tc 0.890 0.110 0.620
CELL_PARAMETERS angstrom
8.456 -3.621 0.000
8.456 3.621 0.000
0.000 0.000 7.419
```


No. 2
Entry from Alexandria: a relaxed structure of AcHPd3 (PBE). Values from VASP.

Computed properties:
Offset from the most stable computed form (meV per atom): 0
E_tot (eV per formula unit): -26.00
Total magnetization (μB/f.u.): 0.00

Structure (Quantum ESPRESSO input):
```
&SYSTEM
  ibrav = 0, nat = 5, ntyp = 3
/
ATOMIC_SPECIES
Ac 227.00 Ac.upf
H 1.01 H.upf
Pd 106.42 Pd.upf
ATOMIC_POSITIONS crystal
Ac 0.000 0.000 0.000
H 0.347 0.347 0.347
Pd 0.505 0.505 0.988
Pd 0.505 0.988 0.505
Pd 0.988 0.505 0.505
CELL_PARAMETERS angstrom
3.057 1.765 2.630
-3.057 1.765 2.630
0.000 -3.530 2.630
```


No. 3
Entry from Alexandria: a relaxed structure of GeAuO2F (PBE). Values from VASP.

Computed properties:
E_tot (eV per formula unit): -23.26
Total magnetization (μB/f.u.): 0.00

Structure (Quantum ESPRESSO input):
```
&SYSTEM
  ibrav = 0, nat = 5, ntyp = 4
/
ATOMIC_SPECIES
Ge 72.64 Ge.upf
Au 196.97 Au.upf
O 16.00 O.upf
F 19.00 F.upf
ATOMIC_POSITIONS crystal
Ge 0.000 0.000 0.000
Au 0.500 0.500 0.500
O 0.000 0.500 0.000
O 0.500 0.000 0.000
F 0.000 0.000 0.500
CELL_PARAMETERS angstrom
3.732 0.000 0.000
0.000 3.732 0.000
0.000 0.000 4.004
```


No. 4
Entry from Alexandria: a relaxed structure of CaZrMn2Cu (PBE). Values from VASP.

Computed properties:
Energy of formation (eV/atom): 1.349
Offset from the most stable computed form (meV per atom): 533
E_tot (eV per formula unit): -26.24
Total magnetization (μB/f.u.): 5.27

Structure (Quantum ESPRESSO input):
```
&SYSTEM
  ibrav = 0, nat = 5, ntyp = 4
/
ATOMIC_SPECIES
Ca 40.08 Ca.upf
Zr 91.22 Zr.upf
Mn 54.94 Mn.upf
Cu 63.55 Cu.upf
ATOMIC_POSITIONS crystal
Ca 0.000 0.000 0.000
Zr 0.000 0.000 0.500
Mn 0.000 0.500 0.500
Mn 0.500 0.000 0.500
Cu 0.500 0.500 0.000
CELL_PARAMETERS angstrom
4.731 0.000 0.000
0.000 4.731 0.000
0.000 0.000 5.782
```


No. 5
Entry from Alexandria: a relaxed structure of MnReGe2Sb (PBE). Values from VASP.

Computed properties:
E_tot (eV per formula unit): -31.73
Total magnetization (μB/f.u.): 3.04

Structure (Quantum ESPRESSO input):
```
&SYSTEM
  ibrav = 0, nat = 5, ntyp = 4
/
ATOMIC_SPECIES
Mn 54.94 Mn.upf
Re 186.21 Re.upf
Ge 72.64 Ge.upf
Sb 121.76 Sb.upf
ATOMIC_POSITIONS crystal
Mn 0.000 0.000 0.000
Re 0.000 0.000 0.500
Ge 0.000 0.500 0.500
Ge 0.500 0.000 0.500
Sb 0.500 0.500 0.000
CELL_PARAMETERS angstrom
4.800 0.000 0.000
0.000 4.800 0.000
0.000 0.000 4.983
```


No. 6
Entry from Alexandria: a relaxed structure of Li3Sb (PBE). Values from VASP.

Computed properties:
Offset from the most stable computed form (meV per atom): 0
E_tot (eV per formula unit): -12.38
Total magnetization (μB/f.u.): 0.00

Structure (Quantum ESPRESSO input):
```
&SYSTEM
  ibrav = 0, nat = 4, ntyp = 2
/
ATOMIC_SPECIES
Li 6.94 Li.upf
Sb 121.76 Sb.upf
ATOMIC_POSITIONS crystal
Li 0.000 0.000 0.000
Li 0.250 0.750 0.500
Li 0.750 0.250 0.500
Sb 0.500 0.500 0.000
CELL_PARAMETERS angstrom
-2.320 2.320 3.276
2.320 -2.320 3.276
2.320 2.320 -3.276
```